# SiIr3I, relaxed, DFT PBE-GGA
# ΔE_f (raw)	1.00	eV/atom
# D(E_F)	1.2707	states/eV per atom
# energy above the most stable polymorph in this dataset	0	kJ/mol of formula units
data_SiIr3I
_chemical_formula_sum 'Si1 Ir3 I1'
_symmetry_space_group_name_H-M 'P m -3 m'
_symmetry_Int_Tables_number 221
_symmetry_space_group_name_Hall '-P 4 2 3'
_cell_length_a 4.5494
_cell_length_b 4.5494
_cell_length_c 4.5494
_cell_angle_alpha 90.00
_cell_angle_beta 90.00
_cell_angle_gamma 90.00
loop_
_atom_site_label
_atom_site_type_symbol
_atom_site_fract_x
_atom_site_fract_y
_atom_site_fract_z
Si1 Si 0.0000 0.0000 0.0000
Ir1 Ir 0.0000 0.0000 0.5000
I1 I 0.5000 0.5000 0.5000

# SiIrI3, relaxed, DFT PBE-GGA
# ΔE_f (raw)	1.26	eV/atom
# D(E_F)	1.8382	states/eV per atom
# energy above the most stable polymorph in this dataset	245	kJ/mol of formula units
data_SiIrI3
_chemical_formula_sum 'Si1 Ir1 I3'
_symmetry_space_group_name_H-M 'P m -3 m'
_symmetry_Int_Tables_number 221
_symmetry_space_group_name_Hall '-P 4 2 3'
_cell_length_a 5.5077
_cell_length_b 5.5077
_cell_length_c 5.5077
_cell_angle_alpha 90.00
_cell_angle_beta 90.00
_cell_angle_gamma 90.00
loop_
_atom_site_label
_atom_site_type_symbol
_atom_site_fract_x
_atom_site_fract_y
_atom_site_fract_z
Si1 Si 0.0000 0.0000 0.0000
Ir1 Ir 0.5000 0.5000 0.5000
I1 I 0.0000 0.0000 0.5000

# SiIr2I, relaxed, DFT PBE-GGA
# ΔE_f (raw)	0.40	eV/atom
# D(E_F)	0.8571	states/eV per atom
# energy above the most stable polymorph in this dataset	0	kJ/mol of formula units
data_SiIr2I
_chemical_formula_sum 'Si4 Ir8 I4'
_symmetry_space_group_name_H-M 'I -4 2 d'
_symmetry_Int_Tables_number 122
_symmetry_space_group_name_Hall 'I -4 2bw'
_cell_length_a 5.2239
_cell_length_b 5.2239
_cell_length_c 12.8787
_cell_angle_alpha 90.00
_cell_angle_beta 90.00
_cell_angle_gamma 90.00
loop_
_atom_site_label
_atom_site_type_symbol
_atom_site_fract_x
_atom_site_fract_y
_atom_site_fract_z
Si1 Si 0.0000 0.0000 0.0000
Ir1 Ir 0.1925 0.2500 0.1250
I1 I 0.0000 0.0000 0.5000

# SiIrI3, relaxed, DFT PBE-GGA
# ΔE_f (raw)	0.75	eV/atom
# D(E_F)	0.6690	states/eV per atom
# energy above the most stable polymorph in this dataset	0	kJ/mol of formula units
data_SiIrI3
_chemical_formula_sum 'Si1 Ir1 I3'
_symmetry_space_group_name_H-M 'P m -3 m'
_symmetry_Int_Tables_number 221
_symmetry_space_group_name_Hall '-P 4 2 3'
_cell_length_a 5.3756
_cell_length_b 5.3756
_cell_length_c 5.3756
_cell_angle_alpha 90.00
_cell_angle_beta 90.00
_cell_angle_gamma 90.00
loop_
_atom_site_label
_atom_site_type_symbol
_atom_site_fract_x
_atom_site_fract_y
_atom_site_fract_z
Si1 Si 0.0000 0.0000 0.0000
Ir1 Ir 0.5000 0.5000 0.5000
I1 I 0.0000 0.5000 0.5000

# Sm8SiIr3I4, relaxed, DFT PBE-GGA
# ΔE_f (raw)	-0.92	eV/atom
# D(E_F)	0.6692	states/eV per atom
data_Sm8SiIr3I4
_chemical_formula_sum 'Sm24 Si3 Ir9 I12'
_symmetry_space_group_name_H-M 'R -3 m'
_symmetry_Int_Tables_number 166
_symmetry_space_group_name_Hall '-R 3 2"'
_cell_length_a 8.4508
_cell_length_b 8.4508
_cell_length_c 23.8024
_cell_angle_alpha 90.00
_cell_angle_beta 90.00
_cell_angle_gamma 120.00
loop_
_atom_site_label
_atom_site_type_symbol
_atom_site_fract_x
_atom_site_fract_y
_atom_site_fract_z
Sm1 Sm 0.0000 0.0000 0.2288
Sm2 Sm 0.0120 0.5060 0.7718
Si1 Si 0.0000 0.0000 0.5000
Ir1 Ir 0.0000 0.5000 0.5000
I1 I 0.0000 0.0000 0.0000
I2 I 0.0000 0.5000 0.0000

# SiTe2IrI, relaxed, DFT PBE-GGA
# ΔE_f (raw)	1.31	eV/atom
# D(E_F)	1.1557	states/eV per atom
# energy above the most stable polymorph in this dataset	256	kJ/mol of formula units
data_SiTe2IrI
_chemical_formula_sum 'Si1 Te2 Ir1 I1'
_symmetry_space_group_name_H-M 'P 4/m m m'
_symmetry_Int_Tables_number 123
_symmetry_space_group_name_Hall '-P 4 2'
_cell_length_a 5.2070
_cell_length_b 5.2070
_cell_length_c 5.2141
_cell_angle_alpha 90.00
_cell_angle_beta 90.00
_cell_angle_gamma 90.00
loop_
_atom_site_label
_atom_site_type_symbol
_atom_site_fract_x
_atom_site_fract_y
_atom_site_fract_z
Si1 Si 0.0000 0.0000 0.0000
Te1 Te 0.0000 0.5000 0.0000
Ir1 Ir 0.5000 0.5000 0.5000
I1 I 0.0000 0.0000 0.5000

# SiTe2IrI, relaxed, DFT PBE-GGA
# ΔE_f (raw)	0.78	eV/atom
# D(E_F)	0.8998	states/eV per atom
# energy above the most stable polymorph in this dataset	0	kJ/mol of formula units
data_SiTe2IrI
_chemical_formula_sum 'Si1 Te2 Ir1 I1'
_symmetry_space_group_name_H-M 'P 4/m m m'
_symmetry_Int_Tables_number 123
_symmetry_space_group_name_Hall '-P 4 2'
_cell_length_a 5.2292
_cell_length_b 5.2292
_cell_length_c 5.4110
_cell_angle_alpha 90.00
_cell_angle_beta 90.00
_cell_angle_gamma 90.00
loop_
_atom_site_label
_atom_site_type_symbol
_atom_site_fract_x
_atom_site_fract_y
_atom_site_fract_z
Si1 Si 0.0000 0.0000 0.0000
Te1 Te 0.0000 0.5000 0.5000
Ir1 Ir 0.5000 0.5000 0.5000
I1 I 0.5000 0.5000 0.0000

# Y2SiIrI, relaxed, DFT PBE-GGA
# ΔE_f (raw)	-0.32	eV/atom
# D(E_F)	0.6496	states/eV per atom
data_Y2SiIrI
_chemical_formula_sum 'Y2 Si1 Ir1 I1'
_symmetry_space_group_name_H-M 'P 4/m m m'
_symmetry_Int_Tables_number 123
_symmetry_space_group_name_Hall '-P 4 2'
_cell_length_a 5.5245
_cell_length_b 5.5245
_cell_length_c 4.3969
_cell_angle_alpha 90.00
_cell_angle_beta 90.00
_cell_angle_gamma 90.00
loop_
_atom_site_label
_atom_site_type_symbol
_atom_site_fract_x
_atom_site_fract_y
_atom_site_fract_z
Y1 Y 0.0000 0.5000 0.0000
Si1 Si 0.0000 0.0000 0.0000
Ir1 Ir 0.0000 0.0000 0.5000
I1 I 0.5000 0.5000 0.5000

# Sm3IrI2, relaxed, DFT PBE-GGA
# ΔE_f (raw)	-0.91	eV/atom
# D(E_F)	0.7350	states/eV per atom
data_Sm3IrI2
_chemical_formula_sum 'Sm6 Ir2 I4'
_symmetry_space_group_name_H-M 'I m m m'
_symmetry_Int_Tables_number 71
_symmetry_space_group_name_Hall '-I 2 2'
_cell_length_a 4.1282
_cell_length_b 6.0571
_cell_length_c 15.2441
_cell_angle_alpha 90.00
_cell_angle_beta 90.00
_cell_angle_gamma 90.00
loop_
_atom_site_label
_atom_site_type_symbol
_atom_site_fract_x
_atom_site_fract_y
_atom_site_fract_z
Sm1 Sm 0.0000 0.0000 0.0000
Sm2 Sm 0.0000 0.0000 0.3820
Ir1 Ir 0.0000 0.5000 0.0000
I1 I 0.0000 0.5000 0.3123

# Sm2IrI2, relaxed, DFT PBE-GGA
# ΔE_f (raw)	-1.06	eV/atom
# D(E_F)	0.5330	states/eV per atom
# energy above the most stable polymorph in this dataset	0	kJ/mol of formula units
data_Sm2IrI2
_chemical_formula_sum 'Sm4 Ir2 I4'
_symmetry_space_group_name_H-M 'C 1 2/m 1'
_symmetry_Int_Tables_number 12
_cell_length_a 7.2644
_cell_length_b 4.1883
_cell_length_c 11.8824
_cell_angle_alpha 90.00
_cell_angle_beta 102.37
_cell_angle_gamma 90.00
loop_
_symmetry_equiv_pos_as_xyz
'x,y,z'
'-x,-y,-z'
'-x,y,-z'
'x,-y,z'
'x+1/2,y+1/2,z'
'-x+1/2,-y+1/2,-z'
'-x+1/2,y+1/2,-z'
'x+1/2,-y+1/2,z'
loop_
_atom_site_label
_atom_site_type_symbol
_atom_site_fract_x
_atom_site_fract_y
_atom_site_fract_z
Sm1 Sm 0.1201 0.0000 0.3657
Ir1 Ir 0.0000 0.5000 0.5000
I1 I 0.2218 0.5000 0.1793

# Sm2IrI, relaxed, DFT PBE-GGA
# ΔE_f (raw)	-0.97	eV/atom
# D(E_F)	0.2400	states/eV per atom
# energy above the most stable polymorph in this dataset	0	kJ/mol of formula units
data_Sm2IrI
_chemical_formula_sum 'Sm6 Ir3 I3'
_symmetry_space_group_name_H-M 'R -3 m'
_symmetry_Int_Tables_number 166
_symmetry_space_group_name_Hall '-R 3 2"'
_cell_length_a 4.1827
_cell_length_b 4.1827
_cell_length_c 24.0474
_cell_angle_alpha 90.00
_cell_angle_beta 90.00
_cell_angle_gamma 120.00
loop_
_atom_site_label
_atom_site_type_symbol
_atom_site_fract_x
_atom_site_fract_y
_atom_site_fract_z
Sm1 Sm 0.0000 0.0000 0.2274
Ir1 Ir 0.0000 0.0000 0.5000
I1 I 0.0000 0.0000 0.0000

# Sm2IrI, relaxed, DFT PBE-GGA
# ΔE_f (raw)	-0.96	eV/atom
# D(E_F)	0.2083	states/eV per atom
# energy above the most stable polymorph in this dataset	6	kJ/mol of formula units
data_Sm2IrI
_chemical_formula_sum 'Sm6 Ir3 I3'
_symmetry_space_group_name_H-M 'R 3 m'
_symmetry_Int_Tables_number 160
_symmetry_space_group_name_Hall 'R 3 -2"'
_cell_length_a 4.1853
_cell_length_b 4.1853
_cell_length_c 24.1579
_cell_angle_alpha 90.00
_cell_angle_beta 90.00
_cell_angle_gamma 120.00
loop_
_atom_site_label
_atom_site_type_symbol
_atom_site_fract_x
_atom_site_fract_y
_atom_site_fract_z
Sm1 Sm 0.0000 0.0000 0.0000
Sm2 Sm 0.0000 0.0000 0.2126
Ir1 Ir 0.0000 0.0000 0.6064
I1 I 0.0000 0.0000 0.7750